[1]
The following is a DFT calculation (SCAN) of a crystal of Fe3Sb2Br4O4 relaxed with PBEsol.

Cell lengths 6.1407, 6.8585, 14.5518 Å; angles 90.00, 90.00, 116.59 degrees
Site moments in Bohr magnetons follow the coordinates.
Fractional coordinates of all 26 atoms:
Fe 0.5000 0.0000 0.5000  3.59
Fe 0.2559 0.0118 0.2500  3.55
Fe 0.7559 0.0118 0.2500  3.55
Fe 0.0000 0.0000 0.0000  3.59
Fe 0.7441 0.9882 0.7500  3.55
Fe 0.2441 0.9882 0.7500  3.55
Sb 0.1180 0.2360 0.4446  0.04
Sb 0.6180 0.2360 0.0554  0.04
Sb 0.8820 0.7640 0.5554  0.04
Sb 0.3820 0.7640 0.9446  0.04
O 0.9542 0.9084 0.6767  0.11
O 0.4542 0.9084 0.8233  0.11
O 0.3028 0.0000 0.0000  0.06
O 0.5458 0.0916 0.1767  0.11
O 0.0458 0.0916 0.3233  0.11
O 0.1972 0.0000 0.5000  0.06
O 0.6972 0.0000 0.0000  0.06
O 0.8028 0.0000 0.5000  0.06
Br 0.8769 0.7537 0.1610  0.11
Br 0.1663 0.3326 0.1163  0.07
Br 0.8337 0.6674 0.8837  0.07
Br 0.1231 0.2463 0.8390  0.11
Br 0.6231 0.2463 0.6610  0.11
Br 0.6663 0.3326 0.3837  0.07
Br 0.3337 0.6674 0.6163  0.07
Br 0.3769 0.7537 0.3390  0.11

Summary:
Space-group type ... Cmce
Total DFT energy (no corrections) ... -491.8 eV for the cell shown
Magnetization ... 12.000 μB/f.u.
Raw formation energy ... -1096 meV/atom


[2]
The following is a DFT calculation (SCAN) of a crystal of Sr3Fe2Br2O5 relaxed with PBEsol.

Cell lengths 3.8829, 3.8829, 13.1767 Å; angles 98.47, 98.47, 90.00 degrees
Site moments in Bohr magnetons follow the coordinates.
Fractional coordinates of all 12 atoms:
Sr 0.0000 0.0000 0.0000  -0.01
Sr 0.8582 0.8582 0.7163  0.00
Sr 0.1418 0.1418 0.2837  0.00
O 0.0798 0.5798 0.1597  0.18
O 0.4202 0.9202 0.8403  0.18
O 0.9202 0.4202 0.8403  0.18
O 0.5000 0.5000 0.0000  0.36
O 0.5798 0.0798 0.1597  0.18
Fe 0.5727 0.5727 0.1454  3.86
Fe 0.4273 0.4273 0.8546  3.86
Br 0.6972 0.6972 0.3943  0.02
Br 0.3028 0.3028 0.6057  0.02

Summary:
Space-group type ... I4/mmm
Total DFT energy (no corrections) ... -201.5 eV for the cell shown
Magnetization ... 9.139 μB/f.u.
Raw formation energy ... -2361 meV/atom


[3]
The following is a DFT calculation (SCAN) of a crystal of FeOsBr2 relaxed with PBEsol.

Cell lengths 3.2789, 3.2789, 7.1834 Å; angles 90.00, 90.00, 90.00 degrees
Site moments in Bohr magnetons follow the coordinates.
Fractional coordinates of all 4 atoms:
Os 0.5000 0.5000 0.6885  1.27
Fe 0.0000 0.0000 0.5484  3.24
Br 0.5000 0.5000 0.3331  0.15
Br 0.0000 0.0000 0.9300  0.07

Summary:
Space-group type ... P4mm
Total DFT energy (no corrections) ... -126.5 eV for the cell shown
Magnetization ... 5.049 μB/f.u.
Distance to the lowest polymorph of the same formula ... 0.000 eV per atom
Raw formation energy ... 608 meV/atom


[4]
The following is a DFT calculation (SCAN) of a crystal of Fe2OsBr relaxed with PBEsol.

Cell lengths 2.7940, 4.6338, 4.6338 Å; angles 110.79, 90.02, 90.02 degrees
Site moments in Bohr magnetons follow the coordinates.
Fractional coordinates of all 4 atoms:
Fe 0.0000 0.0000 0.5000  3.23
Fe 0.0000 0.5000 0.0000  3.23
Br 0.5000 0.0000 0.0000  0.17
Os 0.5000 0.5000 0.5000  0.24

Summary:
Space-group type ... Cmmm
Total DFT energy (no corrections) ... -124.3 eV for the cell shown
Magnetization ... 6.907 μB/f.u.
Distance to the lowest polymorph of the same formula ... 0.000 eV per atom
Raw formation energy ... 825 meV/atom


What is the formula in the first record? Fe3Sb2Br4O4


Which of these has the highest total DFT energy (no corrections)? Fe2OsBr


Which of these has the highest magnetization? Fe3Sb2Br4O4